First-principles (PBE-GGA) data for a relaxed structure of ScCd, as listed in the Alexandria database.

Summary:
**Calculated volume**: 24.2 Å³/atom
**Calculated formation energy**: -107 meV per atom
**Size of the total moment**: 0.00 μB/atom
**Uncorrected energy**: -3.73 eV/atom

Cell: 8.1168 8.1168 5.0823 Å, 90.00 90.00 120.00°
Space group P6_3/m (No. 176)
Symmetry-distinct sites (fractional):
Sc 0.0802 0.2673 0.2500
Cd 0.1024 0.4888 0.7500